Record 1
A relaxed Dy3Ho2In2 crystal. Source: Alexandria, functional PBE-GGA.

Cell: 4.923 23.503 3.437 Å, 90.00 90.00 90.00°
Space group Cmmm (No. 65)
Symmetry-distinct sites (fractional):
Dy 0.000 0.000 0.000 x2
Dy 0.000 0.143 0.000 x4
Ho 0.000 0.286 0.500 x4
In 0.000 0.429 0.500 x4

Values from the calculation:
- Total energy: -4.2186 eV/atom
- Calculated formation energy: -15 kJ/mol of atoms
- Relative energy among the computed polymorphs: 100.7 meV/atom

Record 2
A relaxed DyHo2In9 crystal. Source: Alexandria, functional PBE-GGA.

Cell: 4.633 4.633 13.888 Å, 90.00 90.00 90.00°
Space group P4/mmm (No. 123)
Symmetry-distinct sites (fractional):
Dy 0.000 0.000 0.000 x1
Ho 0.000 0.000 0.333 x2
In 0.000 0.500 0.167 x4
In 0.000 0.500 0.500 x2
In 0.500 0.500 0.000 x1
In 0.500 0.500 0.333 x2

Values from the calculation:
- Total energy: -3.6051 eV/atom
- Calculated formation energy: -39 kJ/mol of atoms

Record 3
A relaxed Dy3Ho7In2 crystal. Source: Alexandria, functional PBE-GGA.

Cell: 6.5339 6.5339 31.1085 Å, 90.00 90.00 120.00°
Space group R-3m (No. 166, hexagonal axes)
Symmetry-distinct sites (fractional):
Dy 0.0000 0.0000 0.0000 x3
Dy 0.0000 0.0000 0.1432 x6
Ho 0.0000 0.0000 0.5000 x3
Ho 0.0019 0.5009 0.9189 x18
In 0.0000 0.0000 0.3337 x6

Values from the calculation:
- Total energy: -4.1686 eV/atom
- Calculated formation energy: 10 kJ/mol of atoms

Record 4
A relaxed Dy8HoIn2 crystal. Source: Alexandria, functional PBE-GGA.

Cell: 8.824 15.170 5.639 Å, 90.00 116.03 90.00°
Space group C2/m (No. 12)
Symmetry-distinct sites (fractional):
Dy 0.000 0.215 0.000 x4
Dy 0.095 0.500 0.796 x4
Dy 0.209 0.115 0.625 x8
Ho 0.000 0.000 0.000 x2
In 0.000 0.307 0.500 x4

Values from the calculation:
- Total energy: -4.2985 eV/atom
- Calculated formation energy: -4 kJ/mol of atoms

Record 5
A relaxed DyHo6In crystal. Source: Alexandria, functional PBE-GGA.

Cell: 4.881 4.881 9.952 Å, 90.00 90.00 90.00°
Space group P4/mmm (No. 123)
Symmetry-distinct sites (fractional):
Dy 0.000 0.000 0.000 x1
Ho 0.000 0.500 0.255 x4
Ho 0.500 0.500 0.000 x1
Ho 0.500 0.500 0.500 x1
In 0.000 0.000 0.500 x1

Values from the calculation:
- Total energy: -4.4659 eV/atom
- Calculated formation energy: -11 kJ/mol of atoms
- Relative energy among the computed polymorphs: 0.0 meV/atom

Record 6
A relaxed Dy5HoIn8 crystal. Source: Alexandria, functional PBE-GGA.

Cell: 9.179 9.179 9.159 Å, 90.00 90.00 90.00°
Space group I-4 (No. 82)
Symmetry-distinct sites (fractional):
Dy 0.000 0.000 0.000 x2
Dy 0.124 0.247 0.624 x8
Ho 0.000 0.500 0.250 x2
In 0.083 0.335 0.959 x8
In 0.086 0.167 0.289 x8

Values from the calculation:
- Total energy: -3.8653 eV/atom
- Calculated formation energy: -32 kJ/mol of atoms

Record 7
A relaxed Dy3HoIn crystal. Source: Alexandria, functional PBE-GGA.

Cell: 4.810 25.036 4.809 Å, 90.00 90.00 90.00°
Space group Cmcm (No. 63)
Symmetry-distinct sites (fractional):
Dy 0.000 0.050 0.250 x4
Dy 0.000 0.250 0.250 x4
Dy 0.000 0.448 0.250 x4
Ho 0.000 0.150 0.750 x4
In 0.000 0.347 0.750 x4

Values from the calculation:
- Total energy: -4.4114 eV/atom
- Calculated formation energy: -18 kJ/mol of atoms
- Relative energy among the computed polymorphs: 0.0 meV/atom

Record 8
A relaxed DyHo7In2 crystal. Source: Alexandria, functional PBE-GGA.

Cell: 9.096 15.382 5.377 Å, 90.00 90.00 90.00°
Space group Cmmm (No. 65)
Symmetry-distinct sites (fractional):
Dy 0.000 0.000 0.000 x2
Ho 0.000 0.227 0.000 x4
Ho 0.000 0.500 0.500 x2
Ho 0.181 0.121 0.500 x8
In 0.000 0.304 0.500 x4

Values from the calculation:
- Total energy: -3.8571 eV/atom
- Calculated formation energy: 34 kJ/mol of atoms

Record 9
A relaxed Dy3Ho4In crystal. Source: Alexandria, functional PBE-GGA.

Cell: 8.282 7.003 8.285 Å, 90.00 95.26 90.00°
Space group Pm (No. 6)
Symmetry-distinct sites (fractional):
Dy 0.000 0.000 0.000 x1
Dy 0.245 0.242 0.731 x2
Dy 0.580 0.500 0.889 x1
Dy 0.828 0.248 0.645 x2
Ho 0.095 0.500 0.395 x1
Ho 0.335 0.258 0.158 x2
Ho 0.484 0.000 0.493 x1
Ho 0.585 0.000 0.914 x1
Ho 0.751 0.252 0.243 x2
Ho 0.995 0.500 0.975 x1
In 0.086 0.000 0.403 x1
In 0.494 0.500 0.484 x1

Values from the calculation:
- Total energy: -4.4728 eV/atom
- Calculated formation energy: -11 kJ/mol of atoms
- Relative energy among the computed polymorphs: 0.0 meV/atom

Record 10
A relaxed Dy6HoIn3 crystal. Source: Alexandria, functional PBE-GGA.

Cell: 10.474 15.344 7.646 Å, 90.00 90.00 90.00°
Space group Cmc2_1 (No. 36)
Symmetry-distinct sites (fractional):
Dy 0.000 0.046 0.000 x4
Dy 0.000 0.303 0.843 x4
Dy 0.235 0.313 0.500 x8
Dy 0.236 0.467 0.811 x8
Ho 0.000 0.205 0.288 x4
In 0.000 0.448 0.530 x4
In 0.145 0.135 0.639 x8

Values from the calculation:
- Total energy: -4.1703 eV/atom
- Calculated formation energy: -13 kJ/mol of atoms
- Relative energy among the computed polymorphs: 136.7 meV/atom

Record 11
A relaxed Dy3HoIn2 crystal. Source: Alexandria, functional PBE-GGA.

Cell: 5.171 9.815 6.709 Å, 90.00 90.00 90.00°
Space group Pmc2_1 (No. 26)
Symmetry-distinct sites (fractional):
Dy 0.000 0.037 0.000 x2
Dy 0.000 0.319 0.352 x2
Dy 0.500 0.182 0.722 x2
Ho 0.500 0.463 0.073 x2
In 0.000 0.359 0.828 x2
In 0.500 0.142 0.246 x2

Values from the calculation:
- Total energy: -4.3342 eV/atom
- Calculated formation energy: -34 kJ/mol of atoms
- Relative energy among the computed polymorphs: 0.0 meV/atom

Record 12
A relaxed Dy2Ho7In2 crystal. Source: Alexandria, functional PBE-GGA.

Cell: 3.601 17.152 10.989 Å, 90.00 90.00 90.00°
Space group Imm2 (No. 44)
Symmetry-distinct sites (fractional):
Dy 0.000 0.220 0.000 x4
Ho 0.000 0.000 0.064 x2
Ho 0.000 0.106 0.499 x4
Ho 0.000 0.327 0.743 x4
Ho 0.000 0.346 0.258 x4
In 0.000 0.000 0.759 x2
In 0.000 0.500 0.807 x2

Values from the calculation:
- Total energy: -4.2858 eV/atom
- Calculated formation energy: -4 kJ/mol of atoms